No. 1
VASP calculation (meta-GGA SCAN) on a PBEsol-optimized structure of Ni2OsRu.

Cell: 8.593 2.605 4.397 Å, 90.00 100.37 90.00°
Space group Cm (No. 8)
Unique sites:
Ni 0.000 0.000 0.000 (multiplicity 2)
Ni 0.247 0.500 0.228 (multiplicity 2)
Os 0.497 0.000 0.491 (multiplicity 2)
Ru 0.249 0.000 0.733 (multiplicity 2)

Calculated values
excess energy over the best structure of this formula in the dataset = 0.114 eV per formula unit
E_form = 0.1252 eV per atom


No. 2
VASP calculation (meta-GGA SCAN) on a PBEsol-optimized structure of TaNiOsS2.

Cell: 4.437 4.437 4.447 Å, 90.00 90.00 90.00°
Space group P4/mmm (No. 123)
Unique sites:
Ta 0.000 0.000 0.000 (multiplicity 1)
Ni 0.500 0.500 0.000 (multiplicity 1)
Os 0.500 0.500 0.500 (multiplicity 1)
S 0.000 0.500 0.500 (multiplicity 2)

Calculated values
final energy = -33.547 eV/atom


No. 3
VASP calculation (meta-GGA SCAN) on a PBEsol-optimized structure of NiSb3Os.

Cell: 5.043 5.043 5.043 Å, 90.00 90.00 90.00°
Space group Pm-3m (No. 221)
Unique sites:
Ni 0.000 0.000 0.000 (multiplicity 1)
Sb 0.000 0.500 0.500 (multiplicity 3)
Os 0.500 0.500 0.500 (multiplicity 1)

Calculated values
final energy = -38.878 eV/atom


No. 4
VASP calculation (meta-GGA SCAN) on a PBEsol-optimized structure of Sc2NiOs.

Cell: 3.185 3.185 6.198 Å, 90.00 90.00 90.00°
Space group P4/mmm (No. 123)
Unique sites:
Sc 0.000 0.000 0.248 (multiplicity 2)
Ni 0.500 0.500 0.500 (multiplicity 1)
Os 0.500 0.500 0.000 (multiplicity 1)

Calculated values
excess energy over the best structure of this formula in the dataset = 0.037 eV per formula unit
E_form = -0.5911 eV per atom


No. 5
VASP calculation (meta-GGA SCAN) on a PBEsol-optimized structure of Sc2NiOs.

Cell: 3.121 3.121 7.235 Å, 90.00 90.00 90.00°
Space group P4mm (No. 99)
Unique sites:
Sc 0.000 0.000 0.000 (multiplicity 1)
Sc 0.500 0.500 0.386 (multiplicity 1)
Ni 0.000 0.000 0.607 (multiplicity 1)
Os 0.500 0.500 0.764 (multiplicity 1)

Calculated values
excess energy over the best structure of this formula in the dataset = 2.064 eV per formula unit
E_form = -0.0844 eV per atom


No. 6
VASP calculation (meta-GGA SCAN) on a PBEsol-optimized structure of Sc2NiOs.

Cell: 6.306 6.306 6.306 Å, 90.00 90.00 90.00°
Space group Fm-3m (No. 225)
Unique sites:
Sc 0.250 0.250 0.250 (multiplicity 8)
Ni 0.000 0.000 0.000 (multiplicity 4)
Os 0.000 0.000 0.500 (multiplicity 4)

Calculated values
excess energy over the best structure of this formula in the dataset = 0.000 eV per formula unit
E_form = -0.6004 eV per atom


No. 7
VASP calculation (meta-GGA SCAN) on a PBEsol-optimized structure of ScNi2OsW.

Cell: 4.063 4.063 4.764 Å, 90.00 90.00 90.00°
Space group P4/mmm (No. 123)
Unique sites:
Sc 0.000 0.000 0.000 (multiplicity 1)
Ni 0.000 0.500 0.000 (multiplicity 2)
Os 0.500 0.500 0.500 (multiplicity 1)
W 0.000 0.000 0.500 (multiplicity 1)

Calculated values
E_form = 1.9913 eV per atom


No. 8
VASP calculation (meta-GGA SCAN) on a PBEsol-optimized structure of Ni3OsSe.

Cell: 4.178 4.178 4.178 Å, 90.00 90.00 90.00°
Space group Pm-3m (No. 221)
Unique sites:
Ni 0.000 0.000 0.500 (multiplicity 3)
Os 0.500 0.500 0.500 (multiplicity 1)
Se 0.000 0.000 0.000 (multiplicity 1)

Calculated values
final energy = -26.947 eV/atom


No. 9
VASP calculation (meta-GGA SCAN) on a PBEsol-optimized structure of NiOsSe2.

Cell: 2.905 4.826 9.225 Å, 90.00 90.00 90.00°
Space group Cmm2 (No. 35)
Unique sites:
Ni 0.000 0.000 0.000 (multiplicity 2)
Os 0.000 0.500 0.227 (multiplicity 2)
Se 0.000 0.000 0.447 (multiplicity 2)
Se 0.000 0.500 0.799 (multiplicity 2)

Calculated values
excess energy over the best structure of this formula in the dataset = 0.000 eV per formula unit


No. 10
VASP calculation (meta-GGA SCAN) on a PBEsol-optimized structure of NiOsSe.

Cell: 5.723 5.723 5.723 Å, 90.00 90.00 90.00°
Space group F-43m (No. 216)
Unique sites:
Ni 0.000 0.000 0.000 (multiplicity 4)
Os 0.250 0.250 0.750 (multiplicity 4)
Se 0.000 0.000 0.500 (multiplicity 4)

Calculated values
final energy = -35.615 eV/atom


No. 11
VASP calculation (meta-GGA SCAN) on a PBEsol-optimized structure of NiOsSe2.

Cell: 6.206 6.206 6.206 Å, 90.00 90.00 90.00°
Space group F-43m (No. 216)
Unique sites:
Ni 0.000 0.000 0.000 (multiplicity 4)
Os 0.250 0.250 0.250 (multiplicity 4)
Se 0.000 0.000 0.500 (multiplicity 4)
Se 0.250 0.250 0.750 (multiplicity 4)

Calculated values
excess energy over the best structure of this formula in the dataset = 2.180 eV per formula unit


No. 12
VASP calculation (meta-GGA SCAN) on a PBEsol-optimized structure of SiNiOs2.

Cell: 2.740 3.769 5.103 Å, 90.00 101.01 90.00°
Space group P2/m (No. 10)
Unique sites:
Si 0.000 0.000 0.000 (multiplicity 1)
Ni 0.000 0.000 0.500 (multiplicity 1)
Os 0.366 0.500 0.245 (multiplicity 2)

Calculated values
final energy = -42.450 eV/atom


No. 13
VASP calculation (meta-GGA SCAN) on a PBEsol-optimized structure of Si4NiOs.

Cell: 6.718 6.718 6.718 Å, 90.00 90.00 90.00°
Space group F-43m (No. 216)
Unique sites:
Si 0.125 0.125 0.125 (multiplicity 16)
Ni 0.000 0.000 0.500 (multiplicity 4)
Os 0.250 0.250 0.750 (multiplicity 4)

Calculated values
final energy = -20.693 eV/atom


No. 14
VASP calculation (meta-GGA SCAN) on a PBEsol-optimized structure of SiNiOs2.

Cell: 4.125 4.125 2.899 Å, 90.00 90.00 90.00°
Space group P4/mmm (No. 123)
Unique sites:
Si 0.000 0.000 0.000 (multiplicity 1)
Ni 0.500 0.500 0.000 (multiplicity 1)
Os 0.000 0.500 0.500 (multiplicity 2)

Calculated values
final energy = -42.678 eV/atom


No. 15
VASP calculation (meta-GGA SCAN) on a PBEsol-optimized structure of SiNiOs2.

Cell: 2.787 4.555 8.216 Å, 90.00 90.00 90.00°
Space group Cmm2 (No. 35)
Unique sites:
Si 0.000 0.000 0.000 (multiplicity 2)
Ni 0.000 0.500 0.787 (multiplicity 2)
Os 0.000 0.000 0.521 (multiplicity 2)
Os 0.000 0.500 0.240 (multiplicity 2)

Calculated values
final energy = -42.157 eV/atom


No. 16
VASP calculation (meta-GGA SCAN) on a PBEsol-optimized structure of SiNiOs2.

Cell: 2.732 3.641 5.125 Å, 90.00 90.00 90.00°
Space group Pmm2 (No. 25)
Unique sites:
Si 0.000 0.000 0.000 (multiplicity 1)
Ni 0.500 0.500 0.219 (multiplicity 1)
Os 0.000 0.000 0.477 (multiplicity 1)
Os 0.500 0.500 0.724 (multiplicity 1)

Calculated values
final energy = -42.516 eV/atom


No. 17
VASP calculation (meta-GGA SCAN) on a PBEsol-optimized structure of Si2NiOs.

Cell: 8.317 2.956 4.115 Å, 90.00 105.78 90.00°
Space group Cm (No. 8)
Unique sites:
Si 0.000 0.000 0.000 (multiplicity 2)
Si 0.243 0.000 0.642 (multiplicity 2)
Ni 0.236 0.500 0.111 (multiplicity 2)
Os 0.005 0.500 0.506 (multiplicity 2)

Calculated values
final energy = -27.462 eV/atom


No. 18
VASP calculation (meta-GGA SCAN) on a PBEsol-optimized structure of NiSnOs3.

Cell: 4.746 4.746 4.746 Å, 90.00 90.00 90.00°
Space group Pm-3m (No. 221)
Unique sites:
Ni 0.000 0.000 0.000 (multiplicity 1)
Sn 0.500 0.500 0.500 (multiplicity 1)
Os 0.000 0.500 0.500 (multiplicity 3)

Calculated values
E_form = 3.1389 eV per atom


No. 19
VASP calculation (meta-GGA SCAN) on a PBEsol-optimized structure of Sr4NiOs.

Cell: 8.723 8.723 8.723 Å, 90.00 90.00 90.00°
Space group F-43m (No. 216)
Unique sites:
Sr 0.124 0.124 0.124 (multiplicity 16)
Ni 0.000 0.000 0.500 (multiplicity 4)
Os 0.250 0.250 0.750 (multiplicity 4)

Calculated values
E_form = 1.6248 eV per atom


No. 20
VASP calculation (meta-GGA SCAN) on a PBEsol-optimized structure of SrNiOs2.

Cell: 2.793 3.584 6.985 Å, 90.00 90.00 90.00°
Space group Pmm2 (No. 25)
Unique sites:
Sr 0.000 0.000 0.000 (multiplicity 1)
Ni 0.500 0.500 0.301 (multiplicity 1)
Os 0.000 0.000 0.491 (multiplicity 1)
Os 0.500 0.500 0.660 (multiplicity 1)

Calculated values
excess energy over the best structure of this formula in the dataset = 0.000 eV per formula unit
E_form = 0.4891 eV per atom


| no. | Fermi-level density of states (states/eV/cell) |
| --- | --- |
| 1 | 8.7 |
| 2 | 4.0 |
| 3 | 5.5 |
| 4 | 1.3 |
| 5 | 2.9 |
| 6 | 5.0 |
| 7 | 4.9 |
| 8 | 5.6 |
| 9 | 8.0 |
| 10 | 6.5 |
| 11 | 14.1 |
| 12 | 4.0 |
| 13 | 13.8 |
| 14 | 1.7 |
| 15 | 8.0 |
| 16 | 2.5 |
| 17 | 1.2 |
| 18 | 6.0 |
| 19 | 27.8 |
| 20 | 3.7 |